Record 1
BaZn3Br | PBE | optimized geometry

Summary:
M_tot	0.000	μB/atom
space group	No. 221
formation energy from raw total energies	221	meV per atom

Cell: 5.693 5.693 5.693 Å, 90.00 90.00 90.00°
Sites, in units of the cell vectors:
Zn  0.000  0.500  0.000
Zn  0.000  0.000  0.500
Zn  0.500  0.000  0.000
Ba  0.500  0.500  0.500
Br  0.000  0.000  0.000


Record 2
LiCd2Cl4 | PBE | optimized geometry

Summary:
M_tot	0.000	μB/atom
space group	No. 12
formation energy from raw total energies	-999	meV per atom

Cell: 3.992 7.058 7.465 Å, 120.44 105.51 90.00°
Sites, in units of the cell vectors:
Li  0.000  0.000  0.000
Cd  0.713  0.716  0.426
Cd  0.287  0.284  0.574
Cl  0.882  0.183  0.765
Cl  0.118  0.817  0.235
Cl  0.629  0.271  0.258
Cl  0.371  0.729  0.742


Record 3
Li2TaAg | PBE | optimized geometry

Summary:
M_tot	0.000	μB/atom
space group	No. 123
energy of formation from the pure elements	0.818	eV/f.u.

Cell: 2.748 2.748 8.799 Å, 90.00 90.00 90.00°
Sites, in units of the cell vectors:
Ag  0.500  0.500  0.750
Li  0.000  0.000  0.982
Li  0.000  0.000  0.518
Ta  0.500  0.500  0.250


Record 4
Hg2TeRu | PBE | optimized geometry

Summary:
M_tot	0.319	μB/atom
space group	No. 166
formation energy from raw total energies	559	meV per atom

Cell: 11.130 11.130 11.130 Å, 16.02 16.02 16.02°
Sites, in units of the cell vectors:
Hg  0.985  0.985  0.985
Hg  0.515  0.515  0.515
Ru  0.250  0.250  0.250
Te  0.750  0.750  0.750


Record 5
Ca3MgP | PBE | optimized geometry

Summary:
M_tot	0.000	μB/atom
space group	No. 167
energy of formation from the pure elements	-2.418	eV/f.u.

Cell: 7.830 7.830 7.830 Å, 60.11 60.11 60.11°
Sites, in units of the cell vectors:
P  0.000  0.000  0.000
P  0.500  0.500  0.500
Ca  0.772  0.728  0.250
Ca  0.728  0.250  0.772
Ca  0.250  0.772  0.728
Ca  0.750  0.228  0.272
Ca  0.272  0.750  0.228
Ca  0.228  0.272  0.750
Mg  0.250  0.250  0.250
Mg  0.750  0.750  0.750


Record 6
Mn2ReAgTe | PBE | optimized geometry

Summary:
M_tot	1.146	μB/atom
space group	No. 123
formation energy from raw total energies	1207	meV per atom

Cell: 4.639 5.212 4.639 Å, 90.00 90.00 90.00°
Sites, in units of the cell vectors:
Re  0.000  0.000  0.000
Te  0.500  0.500  0.500
Ag  0.000  0.500  0.000
Mn  0.000  0.000  0.500
Mn  0.500  0.000  0.000


Record 7
NaHf | PBE | optimized geometry

Summary:
M_tot	1.213	μB/atom
space group	No. 223
energy of formation from the pure elements	5.495	eV/f.u.

Cell: 8.801 8.801 8.801 Å, 90.00 90.00 90.00°
Sites, in units of the cell vectors:
Na  0.250  0.000  0.500
Na  0.750  0.000  0.500
Na  0.000  0.500  0.250
Na  0.000  0.500  0.750
Na  0.500  0.250  0.000
Na  0.500  0.750  0.000
Hf  0.250  0.500  0.000
Hf  0.750  0.500  0.000
Hf  0.500  0.000  0.250
Hf  0.500  0.000  0.750
Hf  0.000  0.250  0.500
Hf  0.000  0.750  0.500


Record 8
Mg2AgSn | PBE | optimized geometry

Summary:
M_tot	0.000	μB/atom
space group	No. 160
energy of formation from the pure elements	-0.277	eV/f.u.

Cell: 4.709 4.709 5.532 Å, 64.81 64.81 60.00°
Sites, in units of the cell vectors:
Mg  0.056  0.056  0.832
Mg  0.269  0.269  0.193
Ag  0.689  0.689  0.932
Sn  0.486  0.486  0.542